(1)
Material: ReMoAu2
Method: DFT, PBE
State: relaxed

CIF file:
```
data_ReMoAu2
_symmetry_space_group_name_H-M 'P 4 m m'
_symmetry_Int_Tables_number 99
_cell_length_a 2.8261
_cell_length_b 2.8261
_cell_length_c 8.3677
_cell_angle_alpha 90.00
_cell_angle_beta 90.00
_cell_angle_gamma 90.00
loop_
_symmetry_equiv_pos_as_xyz
'x,y,z'
'-y,x,z'
'-x,-y,z'
'y,-x,z'
'-x,y,z'
'y,x,z'
'x,-y,z'
'-y,-x,z'
loop_
_atom_site_label
_atom_site_type_symbol
_atom_site_fract_x
_atom_site_fract_y
_atom_site_fract_z
Re1 Re 0.0000 0.0000 0.0000
Mo1 Mo 0.5000 0.5000 0.7832
Au1 Au 0.0000 0.0000 0.5271
Au2 Au 0.5000 0.5000 0.2526
```

Output
Crystal system   tetragonal
Relative energy among the computed polymorphs   2 meV per atom
Calculated density   16.80 Mg/m³
ΔE_f   258 meV/atom
M_tot   0.0 μB per cell
Volume   67 Å³ per cell



(2)
Material: BaLiTl11
Method: DFT, PBE
State: relaxed

CIF file:
```
data_BaLiTl11
_symmetry_space_group_name_H-M 'C 1 2/m 1'
_symmetry_Int_Tables_number 12
_cell_length_a 6.3077
_cell_length_b 15.9216
_cell_length_c 8.4310
_cell_angle_alpha 90.00
_cell_angle_beta 108.62
_cell_angle_gamma 90.00
loop_
_symmetry_equiv_pos_as_xyz
'x,y,z'
'-x,-y,-z'
'-x,y,-z'
'x,-y,z'
'x+1/2,y+1/2,z'
'-x+1/2,-y+1/2,-z'
'-x+1/2,y+1/2,-z'
'x+1/2,-y+1/2,z'
loop_
_atom_site_label
_atom_site_type_symbol
_atom_site_fract_x
_atom_site_fract_y
_atom_site_fract_z
Ba1 Ba 0.0000 0.0000 0.0000
Li1 Li 0.0000 0.5000 0.5000
Tl1 Tl 0.0000 0.0000 0.5000
Tl2 Tl 0.0954 0.3967 0.2195
Tl3 Tl 0.1820 0.1759 0.3621
Tl4 Tl 0.2500 0.2500 0.0000
```

Output
Crystal system   monoclinic
Calculated density   9.90 Mg/m³
ΔE_f   -103 meV/atom
M_tot   0.0 μB per cell
Volume   802 Å³ per cell



(3)
Material: Pm3Sm6Tm2
Method: DFT, PBE
State: relaxed

CIF file:
```
data_Pm3Sm6Tm2
_symmetry_space_group_name_H-M 'I 4/m m m'
_symmetry_Int_Tables_number 139
_symmetry_space_group_name_Hall '-I 4 2'
_cell_length_a 4.7991
_cell_length_b 4.7991
_cell_length_c 33.4556
_cell_angle_alpha 90.00
_cell_angle_beta 90.00
_cell_angle_gamma 90.00
loop_
_atom_site_label
_atom_site_type_symbol
_atom_site_fract_x
_atom_site_fract_y
_atom_site_fract_z
Pm1 Pm 0.0000 0.0000 0.0000
Pm2 Pm 0.0000 0.0000 0.2007
Sm1 Sm 0.0000 0.0000 0.3036
Sm2 Sm 0.0000 0.5000 0.1194
Tm1 Tm 0.0000 0.0000 0.4545
```

Output
Crystal system   tetragonal
Relative energy among the computed polymorphs   134 meV per atom
Calculated density   7.22 Mg/m³
ΔE_f   279 meV/atom
M_tot   0.0 μB per cell
Volume   771 Å³ per cell



(4)
Material: SnO
Method: DFT, PBE
State: relaxed

CIF file:
```
data_SnO
_symmetry_space_group_name_H-M 'P m m n'
_symmetry_Int_Tables_number 59
_cell_length_a 3.8605
_cell_length_b 3.8751
_cell_length_c 5.0276
_cell_angle_alpha 90.00
_cell_angle_beta 90.00
_cell_angle_gamma 90.00
loop_
_symmetry_equiv_pos_as_xyz
'x,y,z'
'-x,-y,-z'
'-x+1/2,-y+1/2,z'
'x+1/2,y+1/2,-z'
'x+1/2,-y,-z'
'-x+1/2,y,z'
'-x,y+1/2,-z'
'x,-y+1/2,z'
loop_
_atom_site_label
_atom_site_type_symbol
_atom_site_fract_x
_atom_site_fract_y
_atom_site_fract_z
Sn1 Sn 0.2500 0.2500 0.2313
O1 O 0.2500 0.7500 0.0008
```

Output
ΔE_f (raw)   -1.2837 eV per atom
Crystal system   orthorhombic
Calculated density   5.95 Mg/m³
M_tot   0.0 μB per cell
Volume   75 Å³ per cell



(5)
Material: MgMnOs2Pb
Method: DFT, PBE
State: relaxed

CIF file:
```
data_MgMnOs2Pb
_symmetry_space_group_name_H-M 'P 4/m m m'
_symmetry_Int_Tables_number 123
_symmetry_space_group_name_Hall '-P 4 2'
_cell_length_a 4.6509
_cell_length_b 4.6509
_cell_length_c 4.5078
_cell_angle_alpha 90.00
_cell_angle_beta 90.00
_cell_angle_gamma 90.00
loop_
_atom_site_label
_atom_site_type_symbol
_atom_site_fract_x
_atom_site_fract_y
_atom_site_fract_z
Mg1 Mg 0.0000 0.0000 0.0000
Mn1 Mn 0.0000 0.0000 0.5000
Os1 Os 0.0000 0.5000 0.0000
Pb1 Pb 0.5000 0.5000 0.5000
```

Output
Crystal system   tetragonal
Calculated density   11.36 Mg/m³
ΔE_f   1776 meV/atom
M_tot   5.0 μB per cell
Volume   98 Å³ per cell



(6)
Material: Ac2LaTbNd2
Method: DFT, PBE
State: relaxed

CIF file:
```
data_Ac2LaTbNd2
_symmetry_space_group_name_H-M 'P m c 21'
_symmetry_Int_Tables_number 26
_cell_length_a 5.9757
_cell_length_b 10.3216
_cell_length_c 7.4116
_cell_angle_alpha 90.00
_cell_angle_beta 90.00
_cell_angle_gamma 90.00
loop_
_symmetry_equiv_pos_as_xyz
'x,y,z'
'-x,-y,z+1/2'
'-x,y,z'
'x,-y,z+1/2'
loop_
_atom_site_label
_atom_site_type_symbol
_atom_site_fract_x
_atom_site_fract_y
_atom_site_fract_z
Ac1 Ac 0.0000 0.0002 0.0000
Ac2 Ac 0.5000 0.1717 0.2502
La1 La 0.5000 0.4997 0.9997
Tb1 Tb 0.0000 0.3350 0.7496
Nd1 Nd 0.0000 0.3419 0.2499
Nd2 Nd 0.5000 0.1738 0.7499
```

Output
Crystal system   orthorhombic
Calculated density   7.56 Mg/m³
ΔE_f   69 meV/atom
M_tot   0.0 μB per cell
Volume   457 Å³ per cell



(7)
Material: TiMn3P
Method: DFT, PBE
State: relaxed

CIF file:
```
data_TiMn3P
_symmetry_space_group_name_H-M 'P m -3 m'
_symmetry_Int_Tables_number 221
_symmetry_space_group_name_Hall '-P 4 2 3'
_cell_length_a 4.4747
_cell_length_b 4.4747
_cell_length_c 4.4747
_cell_angle_alpha 90.00
_cell_angle_beta 90.00
_cell_angle_gamma 90.00
loop_
_atom_site_label
_atom_site_type_symbol
_atom_site_fract_x
_atom_site_fract_y
_atom_site_fract_z
Ti1 Ti 0.0000 0.0000 0.0000
Mn1 Mn 0.0000 0.0000 0.5000
P1 P 0.5000 0.5000 0.5000
```

Output
Crystal system   cubic
Relative energy among the computed polymorphs   1093 meV per atom
Calculated density   4.52 Mg/m³
ΔE_f   1220 meV/atom
M_tot   8.9 μB per cell
Volume   90 Å³ per cell



(8)
Material: Nd6PdRh5
Method: DFT, PBE
State: relaxed

CIF file:
```
data_Nd6PdRh5
_symmetry_space_group_name_H-M 'P 1 2/m 1'
_symmetry_Int_Tables_number 10
_cell_length_a 5.0127
_cell_length_b 7.1598
_cell_length_c 7.9129
_cell_angle_alpha 90.00
_cell_angle_beta 108.34
_cell_angle_gamma 90.00
loop_
_symmetry_equiv_pos_as_xyz
'x,y,z'
'-x,-y,-z'
'-x,y,-z'
'x,-y,z'
loop_
_atom_site_label
_atom_site_type_symbol
_atom_site_fract_x
_atom_site_fract_y
_atom_site_fract_z
Nd1 Nd 0.0000 0.2460 0.0000
Nd2 Nd 0.3316 0.2489 0.6635
Pd1 Pd 0.5000 0.5000 0.0000
Rh1 Rh 0.1654 0.5000 0.3307
Rh2 Rh 0.1672 0.0000 0.3344
Rh3 Rh 0.5000 0.0000 0.0000
```

Output
Crystal system   monoclinic
Calculated density   9.16 Mg/m³
ΔE_f   -666 meV/atom
M_tot   0.0 μB per cell
Volume   270 Å³ per cell



Repeat the first record exactly.
Material: ReMoAu2
Method: DFT, PBE
State: relaxed

CIF file:
```
data_ReMoAu2
_symmetry_space_group_name_H-M 'P 4 m m'
_symmetry_Int_Tables_number 99
_cell_length_a 2.8261
_cell_length_b 2.8261
_cell_length_c 8.3677
_cell_angle_alpha 90.00
_cell_angle_beta 90.00
_cell_angle_gamma 90.00
loop_
_symmetry_equiv_pos_as_xyz
'x,y,z'
'-y,x,z'
'-x,-y,z'
'y,-x,z'
'-x,y,z'
'y,x,z'
'x,-y,z'
'-y,-x,z'
loop_
_atom_site_label
_atom_site_type_symbol
_atom_site_fract_x
_atom_site_fract_y
_atom_site_fract_z
Re1 Re 0.0000 0.0000 0.0000
Mo1 Mo 0.5000 0.5000 0.7832
Au1 Au 0.0000 0.0000 0.5271
Au2 Au 0.5000 0.5000 0.2526
```

Output
Crystal system   tetragonal
Relative energy among the computed polymorphs   2 meV per atom
Calculated density   16.80 Mg/m³
ΔE_f   258 meV/atom
M_tot   0.0 μB per cell
Volume   67 Å³ per cell



Copy entry 8 word for word.
Material: Nd6PdRh5
Method: DFT, PBE
State: relaxed

CIF file:
```
data_Nd6PdRh5
_symmetry_space_group_name_H-M 'P 1 2/m 1'
_symmetry_Int_Tables_number 10
_cell_length_a 5.0127
_cell_length_b 7.1598
_cell_length_c 7.9129
_cell_angle_alpha 90.00
_cell_angle_beta 108.34
_cell_angle_gamma 90.00
loop_
_symmetry_equiv_pos_as_xyz
'x,y,z'
'-x,-y,-z'
'-x,y,-z'
'x,-y,z'
loop_
_atom_site_label
_atom_site_type_symbol
_atom_site_fract_x
_atom_site_fract_y
_atom_site_fract_z
Nd1 Nd 0.0000 0.2460 0.0000
Nd2 Nd 0.3316 0.2489 0.6635
Pd1 Pd 0.5000 0.5000 0.0000
Rh1 Rh 0.1654 0.5000 0.3307
Rh2 Rh 0.1672 0.0000 0.3344
Rh3 Rh 0.5000 0.0000 0.0000
```

Output
Crystal system   monoclinic
Calculated density   9.16 Mg/m³
ΔE_f   -666 meV/atom
M_tot   0.0 μB per cell
Volume   270 Å³ per cell